Arrangement a

Material: Sn2Hg2Pb
Method: DFT, PBE-GGA
State: optimized geometry

Cell: 8.557 8.557 3.789 Å, 90.00 90.00 90.00°
Fractional coordinates of all 10 atoms:
Pb 0.000 0.000 0.000
Pb 0.500 0.500 0.000
Hg 0.370 0.870 0.000
Hg 0.870 0.630 0.000
Hg 0.630 0.130 0.000
Hg 0.130 0.370 0.000
Sn 0.173 0.673 0.500
Sn 0.673 0.827 0.500
Sn 0.827 0.327 0.500
Sn 0.327 0.173 0.500

Computed properties:
Space group: P4/mbm
Crystal system: tetragonal
Size of the total moment in μB/cell: 0.0



Arrangement b

Material: Sn2Hg2Pb
Method: DFT, PBE-GGA
State: optimized geometry

Cell: 5.758 5.758 5.786 Å, 90.00 90.00 90.00°
Fractional coordinates of all 5 atoms:
Sn 0.000 0.500 0.500
Sn 0.500 0.000 0.500
Hg 0.000 0.500 0.000
Hg 0.500 0.000 0.000
Pb 0.000 0.000 0.000

Computed properties:
Space group: P4/mmm
Crystal system: tetragonal
Size of the total moment in μB/cell: 0.0



Arrangement c

Material: Sn2Hg2Pb
Method: DFT, PBE-GGA
State: optimized geometry

Cell: 3.501 3.501 11.387 Å, 98.84 98.84 90.00°
Fractional coordinates of all 5 atoms:
Sn 0.800 0.800 0.601
Sn 0.200 0.200 0.399
Hg 0.602 0.602 0.205
Hg 0.398 0.398 0.795
Pb 0.000 0.000 0.000

Computed properties:
Space group: I4/mmm
Crystal system: tetragonal
Size of the total moment in μB/cell: 0.0



In terms of stability, arrangement c leads; the second structure lies 42 meV per atom higher.



Arrangement a

Material: Sn2Hg2Pb
Method: DFT, PBE-GGA
State: optimized geometry

Cell: 8.600 8.600 3.796 Å, 90.00 90.00 90.00°
Fractional coordinates of all 10 atoms:
Pb 0.000 0.000 0.000
Pb 0.500 0.500 0.000
Hg 0.168 0.668 0.500
Hg 0.668 0.832 0.500
Hg 0.832 0.332 0.500
Hg 0.332 0.168 0.500
Sn 0.368 0.868 0.000
Sn 0.868 0.632 0.000
Sn 0.632 0.132 0.000
Sn 0.132 0.368 0.000

Computed properties:
Space group: P4/mbm
Crystal system: tetragonal
Size of the total moment in μB/cell: 0.0



Arrangement b

Material: Sn2Hg2Pb
Method: DFT, PBE-GGA
State: optimized geometry

Cell: 4.480 4.480 7.870 Å, 73.46 73.46 90.00°
Fractional coordinates of all 5 atoms:
Pb 0.000 0.000 0.000
Hg 0.402 0.402 0.196
Hg 0.598 0.598 0.804
Sn 0.750 0.250 0.500
Sn 0.250 0.750 0.500

Computed properties:
Space group: I4/mmm
Crystal system: tetragonal
Size of the total moment in μB/cell: 0.0



In terms of stability, arrangement a leads; the second structure lies 45 meV per atom higher.



Arrangement a

Material: Sn3HgPb6
Method: DFT, PBE-GGA
State: optimized geometry

Cell: 6.134 10.722 10.722 Å, 120.42 90.00 90.00°
Fractional coordinates of all 20 atoms:
Sn 0.529 0.899 0.686
Sn 0.029 0.686 0.899
Sn 0.004 0.396 0.604
Sn 0.504 0.604 0.396
Sn 0.029 0.101 0.314
Sn 0.529 0.314 0.101
Hg 0.228 0.145 0.855
Hg 0.728 0.855 0.145
Pb 0.025 0.722 0.612
Pb 0.525 0.612 0.722
Pb 0.411 0.594 0.061
Pb 0.911 0.061 0.594
Pb 0.352 0.966 0.034
Pb 0.470 0.292 0.708
Pb 0.970 0.708 0.292
Pb 0.852 0.034 0.966
Pb 0.411 0.939 0.406
Pb 0.911 0.406 0.939
Pb 0.025 0.388 0.278
Pb 0.525 0.278 0.388

Computed properties:
Space group: Cmc2_1
Crystal system: orthorhombic
Size of the total moment in μB/cell: 0.0



Arrangement b

Material: Sn3HgPb6
Method: DFT, PBE-GGA
State: optimized geometry

Cell: 3.433 12.922 15.004 Å, 114.18 90.00 90.00°
Fractional coordinates of all 20 atoms:
Sn 0.750 0.541 0.914
Sn 0.250 0.459 0.086
Sn 0.750 0.621 0.501
Sn 0.250 0.379 0.499
Sn 0.750 0.241 0.112
Sn 0.250 0.759 0.888
Hg 0.750 0.074 0.679
Hg 0.250 0.926 0.321
Pb 0.750 0.567 0.698
Pb 0.250 0.433 0.302
Pb 0.750 0.960 0.082
Pb 0.250 0.040 0.918
Pb 0.750 0.274 0.897
Pb 0.250 0.726 0.103
Pb 0.750 0.667 0.285
Pb 0.250 0.333 0.715
Pb 0.750 0.154 0.496
Pb 0.250 0.846 0.504
Pb 0.750 0.845 0.718
Pb 0.250 0.155 0.282

Computed properties:
Space group: P2_1/m
Crystal system: monoclinic
Size of the total moment in μB/cell: 0.0



In terms of stability, arrangement b leads; the second structure lies 9 meV per atom higher.



Arrangement a

Material: SnHgPb5
Method: DFT, PBE-GGA
State: optimized geometry

Cell: 8.535 8.535 13.137 Å, 44.46 44.46 68.91°
Fractional coordinates of all 14 atoms:
Sn 0.000 0.000 0.000
Sn 0.000 0.000 0.500
Hg 0.571 0.429 0.250
Hg 0.429 0.571 0.750
Pb 0.043 0.504 0.132
Pb 0.181 0.580 0.483
Pb 0.504 0.043 0.632
Pb 0.999 0.001 0.250
Pb 0.420 0.819 0.017
Pb 0.580 0.181 0.983
Pb 0.001 0.999 0.750
Pb 0.496 0.957 0.368
Pb 0.819 0.420 0.517
Pb 0.957 0.496 0.868

Computed properties:
Space group: C2/c
Crystal system: monoclinic
Size of the total moment in μB/cell: 0.0



Arrangement b

Material: SnHgPb5
Method: DFT, PBE-GGA
State: optimized geometry

Cell: 4.995 4.995 8.931 Å, 90.00 90.00 90.00°
Fractional coordinates of all 7 atoms:
Sn 0.000 0.000 0.500
Hg 0.000 0.000 0.000
Pb 0.500 0.500 0.000
Pb 0.500 0.000 0.270
Pb 0.000 0.500 0.270
Pb 0.500 0.000 0.730
Pb 0.000 0.500 0.730

Computed properties:
Space group: P4/mmm
Crystal system: tetragonal
Size of the total moment in μB/cell: 0.0



In terms of stability, arrangement b leads; the second structure lies 36 meV per atom higher.



Arrangement a

Material: Sn3HgPb
Method: DFT, PBE-GGA
State: optimized geometry

Cell: 3.548 9.147 8.637 Å, 95.07 90.00 90.00°
Fractional coordinates of all 10 atoms:
Sn 0.750 0.055 0.354
Sn 0.250 0.945 0.646
Sn 0.250 0.143 0.053
Sn 0.750 0.656 0.521
Sn 0.250 0.344 0.479
Sn 0.750 0.857 0.947
Hg 0.750 0.238 0.767
Hg 0.250 0.762 0.233
Pb 0.250 0.553 0.830
Pb 0.750 0.447 0.170

Computed properties:
Space group: P2_1/m
Crystal system: monoclinic
Size of the total moment in μB/cell: 0.0



Arrangement b

Material: Sn3HgPb
Method: DFT, PBE-GGA
State: optimized geometry

Cell: 5.581 5.581 5.581 Å, 90.00 90.00 90.00°
Fractional coordinates of all 5 atoms:
Pb 0.500 0.500 0.500
Hg 0.000 0.000 0.000
Sn 0.000 0.500 0.000
Sn 0.000 0.000 0.500
Sn 0.500 0.000 0.000

Computed properties:
Space group: Pm-3m
Crystal system: cubic
Size of the total moment in μB/cell: 0.0



Arrangement c

Material: Sn3HgPb
Method: DFT, PBE-GGA
State: optimized geometry

Cell: 5.880 5.880 5.880 Å, 90.00 90.00 90.00°
Fractional coordinates of all 5 atoms:
Pb 0.000 0.000 0.000
Hg 0.500 0.500 0.500
Sn 0.000 0.500 0.000
Sn 0.000 0.000 0.500
Sn 0.500 0.000 0.000

Computed properties:
Space group: Pm-3m
Crystal system: cubic
Size of the total moment in μB/cell: 0.0



In terms of stability, arrangement a leads; the second structure lies 439 meV per atom higher.



Arrangement a

Material: Sn6HgPb2
Method: DFT, PBE-GGA
State: optimized geometry

Cell: 3.282 9.538 9.538 Å, 59.47 89.99 89.99°
Fractional coordinates of all 9 atoms:
Sn 0.500 0.664 0.000
Sn 0.500 0.000 0.336
Sn 0.500 0.336 0.000
Sn 0.500 0.666 0.334
Sn 0.500 0.000 0.664
Sn 0.500 0.334 0.666
Hg 0.000 0.000 0.000
Pb 0.000 0.334 0.334
Pb 0.000 0.666 0.666

Computed properties:
Space group: Cmmm
Crystal system: orthorhombic
Size of the total moment in μB/cell: 0.0



Arrangement b

Material: Sn6HgPb2
Method: DFT, PBE-GGA
State: optimized geometry

Cell: 4.430 7.519 8.878 Å, 115.05 90.00 90.00°
Fractional coordinates of all 9 atoms:
Sn 0.500 0.641 0.000
Sn 0.500 0.331 0.373
Sn 0.500 0.958 0.627
Sn 0.000 0.348 0.000
Sn 0.000 0.749 0.789
Sn 0.000 0.960 0.211
Hg 0.500 0.079 0.000
Pb 0.000 0.276 0.619
Pb 0.000 0.657 0.381

Computed properties:
Space group: Amm2
Crystal system: orthorhombic
Size of the total moment in μB/cell: 0.0



In terms of stability, arrangement a leads; the second structure lies 73 meV per atom higher.



Arrangement a

Material: Sn3HgPb3
Method: DFT, PBE-GGA
State: optimized geometry

Cell: 8.390 8.390 8.390 Å, 90.00 90.00 90.00°
Fractional coordinates of all 14 atoms:
Pb 0.250 0.000 0.500
Pb 0.000 0.500 0.250
Pb 0.500 0.750 0.000
Pb 0.750 0.000 0.500
Pb 0.000 0.500 0.750
Pb 0.500 0.250 0.000
Hg 0.500 0.500 0.500
Hg 0.000 0.000 0.000
Sn 0.000 0.250 0.500
Sn 0.000 0.750 0.500
Sn 0.500 0.000 0.750
Sn 0.750 0.500 0.000
Sn 0.500 0.000 0.250
Sn 0.250 0.500 0.000

Computed properties:
Space group: Pm-3n
Crystal system: cubic
Size of the total moment in μB/cell: 0.0



Arrangement b

Material: Sn3HgPb3
Method: DFT, PBE-GGA
State: optimized geometry

Cell: 5.794 9.009 9.009 Å, 120.00 90.00 90.00°
Fractional coordinates of all 14 atoms:
Sn 0.750 0.041 0.816
Sn 0.750 0.774 0.959
Sn 0.250 0.816 0.774
Sn 0.750 0.184 0.226
Sn 0.250 0.226 0.041
Sn 0.250 0.959 0.184
Hg 0.250 0.667 0.333
Hg 0.750 0.333 0.667
Pb 0.750 0.620 0.528
Pb 0.750 0.908 0.380
Pb 0.250 0.528 0.908
Pb 0.750 0.472 0.092
Pb 0.250 0.092 0.620
Pb 0.250 0.380 0.472

Computed properties:
Space group: P6_3/m
Crystal system: hexagonal
Size of the total moment in μB/cell: 0.0



In terms of stability, arrangement b leads; the second structure lies 189 meV per atom higher.



Arrangement a

Material: SnHgPb2
Method: DFT, PBE-GGA
State: optimized geometry

Cell: 7.130 7.130 7.130 Å, 152.95 55.44 132.59°
Fractional coordinates of all 4 atoms:
Sn 0.000 0.000 0.000
Hg 0.500 0.000 0.500
Pb 0.247 0.000 0.247
Pb 0.753 0.000 0.753

Computed properties:
Space group: Immm
Crystal system: orthorhombic
Size of the total moment in μB/cell: 0.0



Arrangement b

Material: SnHgPb2
Method: DFT, PBE-GGA
State: optimized geometry

Cell: 3.794 3.794 8.116 Å, 90.00 90.00 90.00°
Fractional coordinates of all 4 atoms:
Pb 0.000 0.000 0.754
Pb 0.000 0.000 0.246
Hg 0.500 0.500 0.500
Sn 0.500 0.500 0.000

Computed properties:
Space group: P4/mmm
Crystal system: tetragonal
Size of the total moment in μB/cell: 0.0



In terms of stability, arrangement b leads; the second structure lies 72 meV per atom higher.



Arrangement a

Material: SnHgPb2
Method: DFT, PBE-GGA
State: optimized geometry

Cell: 3.452 3.452 9.917 Å, 90.00 90.00 99.55°
Fractional coordinates of all 4 atoms:
Sn 0.500 0.500 0.500
Hg 0.500 0.500 0.000
Pb 0.000 0.000 0.248
Pb 0.000 0.000 0.752

Computed properties:
Space group: Cmmm
Crystal system: orthorhombic
Size of the total moment in μB/cell: 0.0



Arrangement b

Material: SnHgPb2
Method: DFT, PBE-GGA
State: optimized geometry

Cell: 7.144 7.144 8.056 Å, 63.68 63.68 90.00°
Fractional coordinates of all 8 atoms:
Pb 0.624 0.125 0.250
Pb 0.126 0.625 0.250
Pb 0.375 0.376 0.750
Pb 0.875 0.874 0.750
Hg 0.000 0.000 0.000
Hg 0.750 0.250 0.500
Sn 0.500 0.500 0.000
Sn 0.250 0.750 0.500

Computed properties:
Space group: I-42d
Crystal system: tetragonal
Size of the total moment in μB/cell: 0.0



In terms of stability, arrangement a leads; the second structure lies 215 meV per atom higher.



Arrangement a

Material: SnHgPb2
Method: DFT, PBE-GGA
State: optimized geometry

Cell: 3.384 3.384 12.191 Å, 82.02 82.02 60.00°
Fractional coordinates of all 4 atoms:
Pb 0.088 0.088 0.736
Pb 0.912 0.912 0.264
Hg 0.500 0.500 0.500
Sn 0.000 0.000 0.000

Computed properties:
Space group: R-3m
Crystal system: trigonal
Size of the total moment in μB/cell: 0.0



Arrangement b

Material: SnHgPb2
Method: DFT, PBE-GGA
State: optimized geometry

Cell: 5.474 5.474 5.474 Å, 60.00 60.00 60.00°
Fractional coordinates of all 4 atoms:
Pb 0.250 0.250 0.250
Pb 0.750 0.750 0.750
Hg 0.500 0.500 0.500
Sn 0.000 0.000 0.000

Computed properties:
Space group: Fm-3m
Crystal system: cubic
Size of the total moment in μB/cell: 0.0



In terms of stability, arrangement b leads; the second structure lies 40 meV per atom higher.



Arrangement a

Material: SnHgPb2
Method: DFT, PBE-GGA
State: optimized geometry

Cell: 4.821 3.470 6.904 Å, 90.71 90.00 90.00°
Fractional coordinates of all 4 atoms:
Sn 0.500 0.500 0.250
Hg 0.500 0.500 0.750
Pb 0.000 0.996 0.997
Pb 0.000 0.004 0.503

Computed properties:
Space group: P2/m
Crystal system: monoclinic
Size of the total moment in μB/cell: 0.0



Arrangement b

Material: SnHgPb2
Method: DFT, PBE-GGA
State: optimized geometry

Cell: 4.840 4.877 4.877 Å, 90.00 90.00 90.00°
Fractional coordinates of all 4 atoms:
Pb 0.000 0.000 0.500
Pb 0.000 0.500 0.000
Hg 0.500 0.500 0.500
Sn 0.500 0.000 0.000

Computed properties:
Space group: P4/mmm
Crystal system: tetragonal
Size of the total moment in μB/cell: 0.0



In terms of stability, arrangement a leads; the second structure lies 6 meV per atom higher.